(1)
First-principles (PBE) data for a relaxed TePdSe2N crystal, as listed in Alexandria.

CIF file:
```
data_TePdSe2N
_symmetry_space_group_name_H-M 'P 4/m m m'
_symmetry_Int_Tables_number 123
_symmetry_space_group_name_Hall '-P 4 2'
_cell_length_a 5.216
_cell_length_b 5.216
_cell_length_c 3.754
_cell_angle_alpha 90.00
_cell_angle_beta 90.00
_cell_angle_gamma 90.00
loop_
_atom_site_label
_atom_site_fract_x
_atom_site_fract_y
_atom_site_fract_z
Te1 0.000 0.000 0.000
Pd1 0.500 0.500 0.500
Se1 0.000 0.500 0.500
N1 0.500 0.500 0.000
```

The value obtained for the uncorrected formation energy is 67.6 kJ per mole of atoms. The value obtained for the energy above the lowest structure with this stoichiometry is 0 meV/atom. The magnetic moment comes out at 0.41 μB/cell.

=====

(2)
First-principles (PBE) data for a relaxed PdWSeN2 crystal, as listed in Alexandria.

CIF file:
```
data_PdWSeN2
_symmetry_space_group_name_H-M 'P 4/m m m'
_symmetry_Int_Tables_number 123
_symmetry_space_group_name_Hall '-P 4 2'
_cell_length_a 3.867
_cell_length_b 3.867
_cell_length_c 5.400
_cell_angle_alpha 90.00
_cell_angle_beta 90.00
_cell_angle_gamma 90.00
loop_
_atom_site_label
_atom_site_fract_x
_atom_site_fract_y
_atom_site_fract_z
Pd1 0.000 0.000 0.000
W1 0.500 0.500 0.500
Se1 0.500 0.500 0.000
N1 0.000 0.500 0.500
```

The value obtained for the uncorrected formation energy is 42.9 kJ per mole of atoms. The value obtained for the energy above the lowest structure with this stoichiometry is 0 meV/atom. The magnetic moment comes out at 0.29 μB/cell.

=====

(3)
First-principles (PBE) data for a relaxed PdWSeN2 crystal, as listed in Alexandria.

CIF file:
```
data_PdWSeN2
_symmetry_space_group_name_H-M 'P 4/m m m'
_symmetry_Int_Tables_number 123
_symmetry_space_group_name_Hall '-P 4 2'
_cell_length_a 3.897
_cell_length_b 3.897
_cell_length_c 4.917
_cell_angle_alpha 90.00
_cell_angle_beta 90.00
_cell_angle_gamma 90.00
loop_
_atom_site_label
_atom_site_fract_x
_atom_site_fract_y
_atom_site_fract_z
Pd1 0.000 0.000 0.000
W1 0.500 0.500 0.500
Se1 0.000 0.000 0.500
N1 0.000 0.500 0.000
```

The value obtained for the uncorrected formation energy is 196.1 kJ per mole of atoms. The value obtained for the energy above the lowest structure with this stoichiometry is 1589 meV/atom. The magnetic moment comes out at 0.08 μB/cell.

=====

(4)
First-principles (PBE) data for a relaxed YPdSeN2 crystal, as listed in Alexandria.

CIF file:
```
data_YPdSeN2
_symmetry_space_group_name_H-M 'P 4/m m m'
_symmetry_Int_Tables_number 123
_symmetry_space_group_name_Hall '-P 4 2'
_cell_length_a 4.087
_cell_length_b 4.087
_cell_length_c 4.960
_cell_angle_alpha 90.00
_cell_angle_beta 90.00
_cell_angle_gamma 90.00
loop_
_atom_site_label
_atom_site_fract_x
_atom_site_fract_y
_atom_site_fract_z
Y1 0.000 0.000 0.000
Pd1 0.500 0.500 0.500
Se1 0.500 0.500 0.000
N1 0.000 0.500 0.500
```

The value obtained for the uncorrected formation energy is 44.8 kJ per mole of atoms. The value obtained for the energy above the lowest structure with this stoichiometry is 0 meV/atom. The magnetic moment comes out at 2.01 μB/cell.

=====

(5)
First-principles (PBE) data for a relaxed YPdSeN2 crystal, as listed in Alexandria.

CIF file:
```
data_YPdSeN2
_symmetry_space_group_name_H-M 'P 4/m m m'
_symmetry_Int_Tables_number 123
_symmetry_space_group_name_Hall '-P 4 2'
_cell_length_a 4.373
_cell_length_b 4.373
_cell_length_c 5.729
_cell_angle_alpha 90.00
_cell_angle_beta 90.00
_cell_angle_gamma 90.00
loop_
_atom_site_label
_atom_site_fract_x
_atom_site_fract_y
_atom_site_fract_z
Y1 0.000 0.000 0.000
Pd1 0.500 0.500 0.500
Se1 0.000 0.000 0.500
N1 0.000 0.500 0.000
```

The value obtained for the uncorrected formation energy is 91.6 kJ per mole of atoms. The value obtained for the energy above the lowest structure with this stoichiometry is 485 meV/atom. The magnetic moment comes out at 3.99 μB/cell.

=====

(6)
First-principles (PBE) data for a relaxed ZnPdSeN2 crystal, as listed in Alexandria.

CIF file:
```
data_ZnPdSeN2
_symmetry_space_group_name_H-M 'P 4/m m m'
_symmetry_Int_Tables_number 123
_symmetry_space_group_name_Hall '-P 4 2'
_cell_length_a 3.814
_cell_length_b 3.814
_cell_length_c 5.980
_cell_angle_alpha 90.00
_cell_angle_beta 90.00
_cell_angle_gamma 90.00
loop_
_atom_site_label
_atom_site_fract_x
_atom_site_fract_y
_atom_site_fract_z
Zn1 0.000 0.000 0.000
Pd1 0.500 0.500 0.500
Se1 0.500 0.500 0.000
N1 0.000 0.500 0.500
```

The value obtained for the uncorrected formation energy is 125.5 kJ per mole of atoms. The value obtained for the energy above the lowest structure with this stoichiometry is 0 meV/atom. The magnetic moment comes out at 0.00 μB/cell.

=====

(7)
First-principles (PBE) data for a relaxed ZnPdSe2N crystal, as listed in Alexandria.

CIF file:
```
data_ZnPdSe2N
_symmetry_space_group_name_H-M 'P 4/m m m'
_symmetry_Int_Tables_number 123
_symmetry_space_group_name_Hall '-P 4 2'
_cell_length_a 5.201
_cell_length_b 5.201
_cell_length_c 3.680
_cell_angle_alpha 90.00
_cell_angle_beta 90.00
_cell_angle_gamma 90.00
loop_
_atom_site_label
_atom_site_fract_x
_atom_site_fract_y
_atom_site_fract_z
Zn1 0.000 0.000 0.000
Pd1 0.500 0.500 0.500
Se1 0.000 0.500 0.500
N1 0.500 0.500 0.000
```

The value obtained for the uncorrected formation energy is 69.5 kJ per mole of atoms. The value obtained for the energy above the lowest structure with this stoichiometry is 0 meV/atom. The magnetic moment comes out at 0.50 μB/cell.

=====

(8)
First-principles (PBE) data for a relaxed ZnPdSeN2 crystal, as listed in Alexandria.

CIF file:
```
data_ZnPdSeN2
_symmetry_space_group_name_H-M 'P 4/m m m'
_symmetry_Int_Tables_number 123
_symmetry_space_group_name_Hall '-P 4 2'
_cell_length_a 3.812
_cell_length_b 3.812
_cell_length_c 5.684
_cell_angle_alpha 90.00
_cell_angle_beta 90.00
_cell_angle_gamma 90.00
loop_
_atom_site_label
_atom_site_fract_x
_atom_site_fract_y
_atom_site_fract_z
Zn1 0.000 0.000 0.000
Pd1 0.500 0.500 0.500
Se1 0.000 0.000 0.500
N1 0.000 0.500 0.000
```

The value obtained for the uncorrected formation energy is 141.9 kJ per mole of atoms. The value obtained for the energy above the lowest structure with this stoichiometry is 170 meV/atom. The magnetic moment comes out at 3.53 μB/cell.